First-principles (SCAN) data for a PBEsol-optimized structure of BaAg2P, as listed in the Alexandria database.

Unit cell a=3.5169 b=3.5169 c=7.2357 alpha=90.00 beta=90.00 gamma=90.00
Last column: nearest neighbours and their distance in Å.
Space group P4mm (No. 99)
Asymmetric unit:
Ba: 0.0000 0.0000 0.0000  4 P 3.33, 5 Ag 3.35-3.49, 4 Ba 3.52
Ag: 0.0000 0.0000 0.4627  4 P 2.73, 4 Ag 2.88
Ag: 0.5000 0.5000 0.6625  1 P 2.58, 4 Ag 2.88
P: 0.5000 0.5000 0.3057  5 Ag 2.58-2.73

Values from the calculation:
- Final energy: -1.037 hartree per atom
- Theoretical density: 7.13 g/cm³
- N(E_F): 0.50 states/eV/atom
- Calculated volume: 22.374 Å³/atom
- Formation energy: -52 meV/atom

***

First-principles (SCAN) data for a PBEsol-optimized structure of Nd2MoSe2O10, as listed in the Alexandria database.

Unit cell a=5.3753 b=6.8568 c=12.5087 alpha=85.60 beta=83.88 gamma=69.52
Last column: nearest neighbours and their distance in Å.
Space group P-1 (No. 2)
Asymmetric unit:
Nd: 0.0861 0.3884 0.3521  8 O 2.39-2.52
Nd: 0.1678 0.1965 0.0483  8 O 2.40-2.50
Mo: 0.3632 0.7791 0.4420  4 O 1.75-1.80
Se: 0.2587 0.9259 0.7744  3 O 1.72-1.74
Se: 0.4011 0.6003 0.1322  3 O 1.71-1.78
O: 0.1208 0.7303 0.7790  1 Se 1.74
O: 0.1395 0.9943 0.9044  1 Se 1.72
O: 0.1538 0.6223 0.4713  1 Mo 1.80
O: 0.1673 0.0261 0.3945  1 Mo 1.75
O: 0.1821 0.6680 0.2435  1 Se 1.71
O: 0.1876 0.5565 0.0444  1 Se 1.78
O: 0.3552 0.3360 0.6469  1 Mo 1.76
O: 0.4120 0.2184 0.2034  1 Se 1.74
O: 0.4428 0.8329 0.0812  1 Se 1.75
O: 0.4779 0.7920 0.5672  1 Mo 1.76

Values from the calculation:
- Final energy: -0.636 hartree per atom
- Uncorrected formation energy: -2.3326 eV per atom
- Theoretical density: 5.44 g/cm³
- N(E_F): 0.00 states/eV/atom
- Calculated volume: 14.302 Å³/atom

***

First-principles (SCAN) data for a PBEsol-optimized structure of Fe, as listed in the Alexandria database.

Unit cell a=2.4230 b=2.4230 c=3.8396 alpha=90.00 beta=90.00 gamma=120.00
Last column: nearest neighbours and their distance in Å.
Space group P6_3/mmc (No. 194)
Asymmetric unit:
Fe: 0.3333 0.6667 0.2500  12 Fe 2.38-2.42

Values from the calculation:
- Final energy: -0.649 hartree per atom
- Distance to the lowest polymorph of the same formula: 0.47 eV/f.u.
- Theoretical density: 9.50 g/cm³
- N(E_F): 1.09 states/eV/atom
- Calculated volume: 9.761 Å³/atom
- Formation energy: 468 meV/atom

***

First-principles (SCAN) data for a PBEsol-optimized structure of Sr3GeO, as listed in the Alexandria database.

Unit cell a=7.0938 b=10.0272 c=7.0808 alpha=90.00 beta=90.00 gamma=90.00
Last column: nearest neighbours and their distance in Å.
Space group Pnma (No. 62)
Asymmetric unit:
Sr: 0.0082 0.2500 0.0599  2 O 2.54
Sr: 0.2222 0.0311 0.7219  2 O 2.54
Ge: 0.0221 0.7500 0.4946  6 Sr 3.16-3.44
O: 0.0000 0.0000 0.0000  6 Sr 2.54

Values from the calculation:
- Final energy: -0.735 hartree per atom
- Uncorrected formation energy: -1.5755 eV per atom
- Theoretical density: 4.64 g/cm³
- Calculated volume: 25.183 Å³/atom

***

First-principles (SCAN) data for a PBEsol-optimized structure of Al3TcPd, as listed in the Alexandria database.

Unit cell a=4.5628 b=4.5628 c=4.5628 alpha=90.00 beta=90.00 gamma=90.00
Last column: nearest neighbours and their distance in Å.
Space group Pm-3m (No. 221)
Asymmetric unit:
Al: 0.0000 0.0000 0.5000  2 Pd 2.28
Tc: 0.5000 0.5000 0.5000  12 Al 3.23
Pd: 0.0000 0.0000 0.0000  6 Al 2.28

Values from the calculation:
- Final energy: -0.653 hartree per atom
- Theoretical density: 4.99 g/cm³
- N(E_F): 0.48 states/eV/atom
- Calculated volume: 18.999 Å³/atom
- Formation energy: 436 meV/atom

***

First-principles (SCAN) data for a PBEsol-optimized structure of CsTe4, as listed in the Alexandria database.

Unit cell a=7.8746 b=7.2231 c=13.8098 alpha=90.00 beta=92.95 gamma=90.00
Last column: nearest neighbours and their distance in Å.
Space group P2_1/c (No. 14)
Asymmetric unit:
Cs: 0.1413 0.1220 0.3513  9 Te 3.82-4.24
Te: 0.1288 0.6121 0.4636  2 Te 2.82-2.93
Te: 0.3463 0.5209 0.2132  2 Te 2.80-3.08
Te: 0.3797 0.5622 0.6253  3 Te 2.91-3.08
Te: 0.4674 0.1920 0.5624  2 Te 2.80-2.91

Values from the calculation:
- Final energy: -1.390 hartree per atom
- Uncorrected formation energy: -0.4687 eV per atom
- Theoretical density: 5.45 g/cm³
- Calculated volume: 39.222 Å³/atom